# 1
# LaNb2Bi2

A relaxed LaNb2Bi2 crystal (PBE-GGA, Alexandria via LeMat-Bulk).

abc: 8.4581 8.4581 3.5333
angles: 90.00 90.00 90.00
Atoms (fractional coordinates):
Nb1 0.8728 0.3728 0.5000
Nb2 0.1272 0.6272 0.5000
Nb3 0.6272 0.8728 0.5000
Nb4 0.3728 0.1272 0.5000
La1 0.0000 0.0000 0.0000
La2 0.5000 0.5000 0.0000
Bi1 0.1539 0.3461 0.0000
Bi2 0.6539 0.1539 0.0000
Bi3 0.8461 0.6539 0.0000
Bi4 0.3461 0.8461 0.0000

Calculated values
- Crystal system: tetragonal
- N(E_F): 5.4 states/eV/f.u.
- Volume: 126.4 Å³/f.u.
- Energy relative to the lowest polymorph listed for this composition: 344 meV/atom
- Symmetry: P4/mbm, No. 127

# 2
# Zn2P2C

A relaxed Zn2P2C crystal (PBE-GGA, Alexandria via LeMat-Bulk).

abc: 4.3028 4.3028 5.4119
angles: 66.58 66.58 90.00
Each line ends with the local moment (μB).
Atoms (fractional coordinates):
P1 0.3798 0.3798 0.2404  0.01
P2 0.6202 0.6202 0.7596  0.01
C1 0.0000 0.0000 0.0000  0.90
Zn1 0.2500 0.7500 0.5000  0.04
Zn2 0.7500 0.2500 0.5000  0.04

Calculated values
- Crystal system: tetragonal
- N(E_F): 2.8 states/eV/f.u.
- Volume: 82.9 Å³/f.u.
- Energy relative to the lowest polymorph listed for this composition: 401 meV/atom
- Symmetry: I4/mmm, No. 139

# 3
# Pm3Ga2Cu7

A relaxed Pm3Ga2Cu7 crystal (PBE-GGA, Alexandria via LeMat-Bulk).

abc: 5.3906 5.3906 8.8082
angles: 72.18 72.18 60.00
Atoms (fractional coordinates):
Cu1 0.4208 0.9136 0.2449
Cu2 0.5792 0.5792 0.7551
Cu3 0.5000 0.5000 0.5000
Cu4 0.0864 0.5792 0.7551
Cu5 0.9136 0.4208 0.2449
Cu6 0.4208 0.4208 0.2449
Cu7 0.5792 0.0864 0.7551
Pm1 0.1445 0.1445 0.5664
Pm2 0.0000 0.0000 0.0000
Pm3 0.8555 0.8555 0.4336
Ga1 0.3314 0.3314 0.0058
Ga2 0.6686 0.6686 0.9942

Calculated values
- Crystal system: trigonal
- N(E_F): 10.3 states/eV/f.u.
- Volume: 207.4 Å³/f.u.
- Symmetry: R-3m, No. 166

# 4
# Cs2RbPb

A relaxed Cs2RbPb crystal (PBE-GGA, Alexandria via LeMat-Bulk).

abc: 14.7813 14.7813 14.7813
angles: 156.78 156.78 33.07
Atoms (fractional coordinates):
Rb1 0.5000 0.5000 0.0000
Rb2 0.2500 0.7500 0.5000
Cs1 0.6387 0.1250 0.0137
Cs2 0.1113 0.6250 0.9863
Cs3 0.8750 0.8887 0.5137
Cs4 0.3750 0.3613 0.4863
Pb1 0.0000 0.0000 0.0000
Pb2 0.7500 0.2500 0.5000

Calculated values
- Crystal system: tetragonal
- N(E_F): 5.6 states/eV/f.u.
- Volume: 250.8 Å³/f.u.
- Energy relative to the lowest polymorph listed for this composition: 203 meV/atom
- Symmetry: I-42d, No. 122

# 5
# MgHg2BiC

A relaxed MgHg2BiC crystal (PBE-GGA, Alexandria via LeMat-Bulk).

abc: 6.0896 4.4563 6.0896
angles: 90.00 90.00 90.00
Atoms (fractional coordinates):
Mg1 0.5000 0.5000 0.5000
Hg1 0.5000 0.0000 0.0000
Hg2 0.0000 0.0000 0.5000
C1 0.0000 0.5000 0.0000
Bi1 0.0000 0.0000 0.0000

Calculated values
- Crystal system: tetragonal
- N(E_F): 3.3 states/eV/f.u.
- Volume: 165.3 Å³/f.u.
- Energy relative to the lowest polymorph listed for this composition: 0 meV/atom
- Symmetry: P4/mmm, No. 123

# 6
# BaSrCr

A relaxed BaSrCr crystal (PBE-GGA, Alexandria via LeMat-Bulk).

abc: 7.8689 7.8683 4.1789
angles: 74.61 74.59 30.80
Each line ends with the local moment (μB).
Atoms (fractional coordinates):
Ba1 0.9727 0.9727 0.0273  0.02
Sr1 0.6990 0.6990 0.3010  0.02
Cr1 0.3283 0.3283 0.6717  4.03

Calculated values
- Crystal system: tetragonal
- N(E_F): 3.4 states/eV/f.u.
- Volume: 127.4 Å³/f.u.
- Energy relative to the lowest polymorph listed for this composition: 0 meV/atom
- Symmetry: I4mm, No. 107

# 7
# ScIn2Hg

A relaxed ScIn2Hg crystal (PBE-GGA, Alexandria via LeMat-Bulk).

abc: 3.5173 4.2306 6.3555
angles: 90.00 90.00 90.00
Atoms (fractional coordinates):
In1 0.0000 0.0000 0.9988
In2 0.5000 0.5000 0.2567
Sc1 0.0000 0.0000 0.5035
Hg1 0.5000 0.5000 0.7410

Calculated values
- Crystal system: orthorhombic
- N(E_F): 3.4 states/eV/f.u.
- Volume: 94.6 Å³/f.u.
- Symmetry: Pmm2, No. 25

# 8
# YFeRe2

A relaxed YFeRe2 crystal (PBE-GGA, Alexandria via LeMat-Bulk).

abc: 4.4317 4.4317 3.3938
angles: 90.00 90.00 90.00
Each line ends with the local moment (μB).
Atoms (fractional coordinates):
Fe1 0.0000 0.5000 0.5000  2.54
Re1 0.5000 0.5000 0.0000  -0.06
Re2 0.0000 0.0000 0.0000  -0.06
Y1 0.5000 0.0000 0.5000  -0.02

Calculated values
- Crystal system: tetragonal
- N(E_F): 3.4 states/eV/f.u.
- Volume: 66.7 Å³/f.u.
- Energy relative to the lowest polymorph listed for this composition: 462 meV/atom
- Symmetry: P4/mmm, No. 123

| no. | calculated formation energy (eV per formula unit) |
| --- | --- |
| 1 | 0.6 |
| 2 | 6.3 |
| 3 | -2.6 |
| 4 | 0.6 |
| 5 | 6.2 |
| 6 | 1.6 |
| 7 | -0.7 |
| 8 | 2.6 |